YNiF3 PBE with a Hubbard U optimized geometry; energy relative to the lowest polymorph listed for this composition = 84.8 kJ/mol of atoms; space-group type = Pm-3m; magnetic moment = 0.84 Bohr magnetons per cell
1.0
4.068 0.000 0.000
0.000 4.068 0.000
0.000 0.000 4.068
Y Ni F
1 1 3
Direct
0.000 0.000 0.000 Y
0.500 0.500 0.500 Ni
0.000 0.500 0.500 F
0.500 0.000 0.500 F
0.500 0.500 0.000 F